Entry from the Alexandria database: Ta4FeIr2 after structural relaxation (PBE-GGA).

Results
Its space-group type is No. 139. The formation energy is 10.5 kcal/mol of atoms. The calculation puts the density of states at the Fermi level at 7.1 states/eV/cell.

Cell lengths 7.250, 7.250, 7.250 Å; angles 144.01, 144.01, 51.81 degrees
Positions (direct):
Ta 0.000 0.500 0.500
Ta 0.185 0.185 0.000
Ta 0.500 0.000 0.500
Ta 0.815 0.815 0.000
Fe 0.000 0.000 0.000
Ir 0.376 0.376 0.000
Ir 0.624 0.624 0.000



Entry from the Alexandria database: TaFeIr after structural relaxation (PBE-GGA).

Results
Its space-group type is No. 107. The formation energy is -5.6 kcal/mol of atoms. The calculation puts the density of states at the Fermi level at 3.2 states/eV/cell.

Cell lengths 4.910, 4.910, 4.910 Å; angles 141.81, 141.81, 55.12 degrees
Positions (direct):
Ta 0.000 0.000 0.000
Fe 0.340 0.340 0.000
Ir 0.670 0.670 0.000



Entry from the Alexandria database: TaFeIr after structural relaxation (PBE-GGA).

Results
Its space-group type is No. 63. The formation energy is -4.4 kcal/mol of atoms. The calculation puts the density of states at the Fermi level at 5.2 states/eV/cell.

Cell lengths 6.058, 6.058, 3.938 Å; angles 90.00, 90.00, 142.09 degrees
Positions (direct):
Ta 0.248 0.752 0.750
Ta 0.752 0.248 0.250
Fe 0.069 0.931 0.250
Fe 0.931 0.069 0.750
Ir 0.418 0.582 0.250
Ir 0.582 0.418 0.750



Entry from the Alexandria database: TaFeIr after structural relaxation (PBE-GGA).

Results
Its space-group type is No. 156. The formation energy is -4.4 kcal/mol of atoms. The calculation puts the density of states at the Fermi level at 3.1 states/eV/cell.

Cell lengths 4.325, 4.325, 2.761 Å; angles 90.00, 90.00, 120.00 degrees
Positions (direct):
Ta 0.000 0.000 0.000
Fe 0.333 0.667 0.284
Ir 0.667 0.333 0.629



Please write out number 1 again, unchanged.
Entry from the Alexandria database: Ta4FeIr2 after structural relaxation (PBE-GGA).

Results
Its space-group type is No. 139. The formation energy is 10.5 kcal/mol of atoms. The calculation puts the density of states at the Fermi level at 7.1 states/eV/cell.

Cell lengths 7.250, 7.250, 7.250 Å; angles 144.01, 144.01, 51.81 degrees
Positions (direct):
Ta 0.000 0.500 0.500
Ta 0.185 0.185 0.000
Ta 0.500 0.000 0.500
Ta 0.815 0.815 0.000
Fe 0.000 0.000 0.000
Ir 0.376 0.376 0.000
Ir 0.624 0.624 0.000